Cr3AuO: optimized geometry, PBE+U.

Values from the calculation:
**Raw total energy**: -32.52 eV/f.u.
**Space-group type**: Pm-3m
**Magnetic moment**: 12.31 μB per formula unit

abc: 4.2617 4.2617 4.2617
angles: 90.00 90.00 90.00
Atoms (fractional coordinates):
Cr 0.0000 0.0000 0.5000
Cr 0.0000 0.5000 0.0000
Cr 0.5000 0.0000 0.0000
Au 0.5000 0.5000 0.5000
O 0.0000 0.0000 0.0000